No. 1
A geometry-optimized K2SrI4 structure. Source: Alexandria via LeMat-Bulk, functional PBE. Values from VASP.

Geometry as Quantum ESPRESSO input:
```
&SYSTEM
  ibrav = 0, nat = 7, ntyp = 3
/
ATOMIC_SPECIES
K 39.10 K.upf
Sr 87.62 Sr.upf
I 126.90 I.upf
CELL_PARAMETERS angstrom
8.449 -2.459 0.000
8.449 2.459 0.000
-4.181 0.000 8.212
ATOMIC_POSITIONS crystal
K 0.203 0.203 0.187
K 0.797 0.797 0.813
Sr 0.500 0.500 0.500
I 0.138 0.138 0.508
I 0.394 0.394 0.106
I 0.606 0.606 0.894
I 0.862 0.862 0.492
```

Calculated values
N(E_F) = 0.00 states/eV per cell
E_form (uncorrected) = -1.554 eV per atom
V = 48.7 Å³ per atom
Raw total energy = -2.994 eV per atom

No. 2
A geometry-optimized K2SrI structure. Source: Alexandria via LeMat-Bulk, functional PBE. Values from VASP.

Geometry as Quantum ESPRESSO input:
```
&SYSTEM
  ibrav = 0, nat = 4, ntyp = 3
/
ATOMIC_SPECIES
K 39.10 K.upf
Sr 87.62 Sr.upf
I 126.90 I.upf
CELL_PARAMETERS angstrom
2.270 1.310 12.978
-2.270 1.310 12.978
0.000 -2.621 12.978
ATOMIC_POSITIONS crystal
K 0.107 0.107 0.107
K 0.893 0.893 0.893
Sr 0.000 0.000 0.000
I 0.500 0.500 0.500
```

Calculated values
N(E_F) = 1.40 states/eV per cell
E_form (uncorrected) = -0.566 eV per atom
V = 57.9 Å³ per atom
Raw total energy = -1.923 eV per atom

No. 3
A geometry-optimized KSr2I2 structure. Source: Alexandria via LeMat-Bulk, functional PBE. Values from VASP.

Geometry as Quantum ESPRESSO input:
```
&SYSTEM
  ibrav = 0, nat = 5, ntyp = 3
/
ATOMIC_SPECIES
K 39.10 K.upf
Sr 87.62 Sr.upf
I 126.90 I.upf
CELL_PARAMETERS angstrom
-2.601 2.601 9.042
2.601 -2.601 9.042
2.601 2.601 -9.042
ATOMIC_POSITIONS crystal
K 0.000 0.000 0.000
Sr 0.250 0.750 0.500
Sr 0.750 0.250 0.500
I 0.391 0.391 0.000
I 0.609 0.609 0.000
```

Calculated values
N(E_F) = 2.50 states/eV per cell
E_form (uncorrected) = -0.745 eV per atom
V = 48.9 Å³ per atom
Raw total energy = -2.257 eV per atom